Record 1
This record from Alexandria describes Cd6Pb4F19 after structural relaxation. The functional is GGA-PBE.

Formation energy (no corrections) in kJ per mole of atoms: -208.4
V in Å³/cell: 523.5

Lattice parameters (Å, degrees): 8.794 8.794 8.794 109.47 109.47 109.47
Sites, in units of the cell vectors:
Cd 0.167 0.500 0.667
Cd 0.333 0.833 0.500
Cd 0.500 0.333 0.833
Cd 0.500 0.667 0.167
Cd 0.667 0.167 0.500
Cd 0.833 0.500 0.333
Pb 0.000 0.000 0.295
Pb 0.000 0.295 0.000
Pb 0.295 0.000 0.000
Pb 0.705 0.705 0.705
F 0.000 0.000 0.000
F 0.000 0.342 0.342
F 0.000 0.658 0.658
F 0.034 0.779 0.382
F 0.221 0.256 0.604
F 0.256 0.604 0.221
F 0.342 0.000 0.342
F 0.342 0.342 0.000
F 0.348 0.744 0.966
F 0.382 0.034 0.779
F 0.396 0.652 0.618
F 0.604 0.221 0.256
F 0.618 0.396 0.652
F 0.652 0.618 0.396
F 0.658 0.000 0.658
F 0.658 0.658 0.000
F 0.744 0.966 0.348
F 0.779 0.382 0.034
F 0.966 0.348 0.744


Record 2
This record from Alexandria describes ErBRh after structural relaxation. The functional is GGA-PBE.

V in Å³/cell: 48.2
Formation energy from the elements in eV per formula unit: -1.8

Lattice parameters (Å, degrees): 3.702 3.702 4.061 90.00 90.00 120.00
Sites, in units of the cell vectors:
Er 0.000 0.000 0.000
B 0.333 0.667 0.500
Rh 0.667 0.333 0.500


Record 3
This record from Alexandria describes RbBe3Tl after structural relaxation. The functional is GGA-PBE.

V in Å³/cell: 197.5
Formation energy from the elements in eV per formula unit: 10.7

Lattice parameters (Å, degrees): 5.823 5.823 5.823 90.00 90.00 90.00
Sites, in units of the cell vectors:
Rb 0.000 0.000 0.000
Be 0.000 0.000 0.500
Be 0.000 0.500 0.000
Be 0.500 0.000 0.000
Tl 0.500 0.500 0.500


Record 4
This record from Alexandria describes LiSc2PO6 after structural relaxation. The functional is GGA-PBE.

Formation energy (no corrections) in kJ per mole of atoms: -249.1
V in Å³/cell: 106.9

Lattice parameters (Å, degrees): 4.857 4.857 4.533 90.00 90.00 90.00
Sites, in units of the cell vectors:
Li 0.000 0.000 0.000
Sc 0.000 0.500 0.427
Sc 0.500 0.000 0.427
P 0.500 0.500 0.049
O 0.000 0.000 0.584
O 0.270 0.270 0.158
O 0.270 0.730 0.158
O 0.500 0.500 0.699
O 0.730 0.270 0.158
O 0.730 0.730 0.158


Record 5
This record from Alexandria describes Zn2PPd6 after structural relaxation. The functional is GGA-PBE.

V in Å³/cell: 133.9
Formation energy from the elements in eV per formula unit: -4.0

Lattice parameters (Å, degrees): 6.842 6.842 3.304 90.00 90.00 120.00
Sites, in units of the cell vectors:
Zn 0.333 0.667 0.000
Zn 0.667 0.333 0.000
P 0.000 0.000 0.500
Pd 0.000 0.249 0.000
Pd 0.000 0.599 0.500
Pd 0.249 0.000 0.000
Pd 0.401 0.401 0.500
Pd 0.599 0.000 0.500
Pd 0.751 0.751 0.000


Record 6
This record from Alexandria describes YZnCd11 after structural relaxation. The functional is GGA-PBE.

V in Å³/cell: 287.3
Formation energy from the elements in eV per formula unit: -1.0

Lattice parameters (Å, degrees): 7.573 7.573 7.529 98.60 98.60 133.95
Sites, in units of the cell vectors:
Y 0.000 0.000 0.000
Zn 0.500 0.500 0.500
Cd 0.000 0.000 0.500
Cd 0.000 0.500 0.000
Cd 0.009 0.354 0.353
Cd 0.297 0.507 0.783
Cd 0.354 0.009 0.353
Cd 0.493 0.703 0.217
Cd 0.500 0.000 0.000
Cd 0.507 0.297 0.783
Cd 0.646 0.991 0.647
Cd 0.703 0.493 0.217
Cd 0.991 0.646 0.647


Record 7
This record from Alexandria describes MgZr2PtN after structural relaxation. The functional is GGA-PBE.

Formation energy (no corrections) in kJ per mole of atoms: -93.6
V in Å³/cell: 82.2

Lattice parameters (Å, degrees): 4.466 4.466 4.120 90.00 90.00 90.00
Sites, in units of the cell vectors:
Mg 0.000 0.000 0.000
Zr 0.000 0.500 0.500
Zr 0.500 0.000 0.500
Pt 0.500 0.500 0.000
N 0.000 0.000 0.500


Record 8
This record from Alexandria describes CsHfHg2Bi after structural relaxation. The functional is GGA-PBE.

V in Å³/cell: 190.7
Formation energy from the elements in eV per formula unit: -0.2

Lattice parameters (Å, degrees): 5.801 5.801 5.667 90.00 90.00 90.00
Sites, in units of the cell vectors:
Cs 0.000 0.000 0.000
Hf 0.500 0.500 0.500
Hg 0.000 0.500 0.500
Hg 0.500 0.000 0.500
Bi 0.500 0.500 0.000


Record 9
This record from Alexandria describes TbPaGa5 after structural relaxation. The functional is GGA-PBE.

V in Å³/cell: 312.2
Formation energy from the elements in eV per formula unit: -1.1

Lattice parameters (Å, degrees): 5.847 8.831 6.045 90.00 90.00 90.00
Sites, in units of the cell vectors:
Tb 0.000 0.000 0.000
Tb 0.500 0.500 0.000
Pa 0.000 0.500 0.500
Pa 0.500 0.000 0.500
Ga 0.000 0.500 0.000
Ga 0.250 0.250 0.253
Ga 0.250 0.250 0.747
Ga 0.250 0.750 0.253
Ga 0.250 0.750 0.747
Ga 0.500 0.000 0.000
Ga 0.750 0.250 0.253
Ga 0.750 0.250 0.747
Ga 0.750 0.750 0.253
Ga 0.750 0.750 0.747


Record 10
This record from Alexandria describes K2Na4TlPb2 after structural relaxation. The functional is GGA-PBE.

V in Å³/cell: 331.5
Formation energy from the elements in eV per formula unit: -0.7

Lattice parameters (Å, degrees): 8.579 8.579 5.778 104.65 104.65 54.38
Sites, in units of the cell vectors:
K 0.136 0.136 0.166
K 0.864 0.864 0.834
Na 0.162 0.579 0.342
Na 0.421 0.838 0.658
Na 0.579 0.162 0.342
Na 0.838 0.421 0.658
Tl 0.500 0.500 0.000
Pb 0.300 0.300 0.779
Pb 0.700 0.700 0.221


Record 11
This record from Alexandria describes LaCeYTm after structural relaxation. The functional is GGA-PBE.

V in Å³/cell: 529.7
Formation energy from the elements in eV per formula unit: 0.6

Lattice parameters (Å, degrees): 8.091 8.091 8.091 90.00 90.00 90.00
Sites, in units of the cell vectors:
La 0.000 0.000 0.000
La 0.000 0.500 0.500
La 0.500 0.000 0.500
La 0.500 0.500 0.000
Ce 0.000 0.000 0.500
Ce 0.000 0.500 0.000
Ce 0.500 0.000 0.000
Ce 0.500 0.500 0.500
Y 0.250 0.250 0.750
Y 0.250 0.750 0.250
Y 0.750 0.250 0.250
Y 0.750 0.750 0.750
Tm 0.250 0.250 0.250
Tm 0.250 0.750 0.750
Tm 0.750 0.250 0.750
Tm 0.750 0.750 0.250


Record 12
This record from Alexandria describes CeNdY5 after structural relaxation. The functional is GGA-PBE.

V in Å³/cell: 464.2
Formation energy from the elements in eV per formula unit: 1.6

Lattice parameters (Å, degrees): 6.960 6.960 11.313 90.00 90.00 57.91
Sites, in units of the cell vectors:
Ce 0.000 0.000 0.000
Ce 0.000 0.000 0.500
Nd 0.326 0.674 0.750
Nd 0.674 0.326 0.250
Y 0.099 0.339 0.250
Y 0.232 0.768 0.250
Y 0.339 0.099 0.750
Y 0.351 0.351 0.000
Y 0.351 0.351 0.500
Y 0.649 0.649 0.000
Y 0.649 0.649 0.500
Y 0.661 0.901 0.250
Y 0.768 0.232 0.750
Y 0.901 0.661 0.750